First-principles (PBE) data for a geometry-optimized Zr2CdFe structure, as listed in Alexandria via LeMat-Bulk.

- total DFT energy (no corrections) (eV/atom) = -6.4089
- ρ (g/cm3) = 7.70
- formation energy from the elements (meV/atom) = 210

```
data_Zr2CdFe
_chemical_formula_sum 'Zr8 Cd4 Fe4'
_cell_length_a 6.7123
_cell_length_b 6.7123
_cell_length_c 6.7123
_cell_angle_alpha 90.00
_cell_angle_beta 90.00
_cell_angle_gamma 90.00
_symmetry_space_group_name_H-M 'F -4 3 m'
_symmetry_Int_Tables_number 216
_symmetry_space_group_name_Hall 'F -4 2 3'
loop_
_atom_site_label
_atom_site_type_symbol
_atom_site_fract_x
_atom_site_fract_y
_atom_site_fract_z
Zr1 Zr 0.0000 0.0000 0.0000
Zr2 Zr 0.2500 0.2500 0.2500
Cd1 Cd 0.2500 0.2500 0.7500
Fe1 Fe 0.0000 0.0000 0.5000
```


First-principles (PBE) data for a geometry-optimized TbCe2Dy structure, as listed in Alexandria via LeMat-Bulk.

- total DFT energy (no corrections) (eV/atom) = -5.0373
- excess energy over the best structure of this formula in the dataset (eV/atom) = 0.1477
- ρ (g/cm3) = 7.89
- formation energy from the elements (meV/atom) = 238

```
data_TbCe2Dy
_chemical_formula_sum 'Tb4 Ce8 Dy4'
_cell_length_a 7.9696
_cell_length_b 7.9696
_cell_length_c 7.9696
_cell_angle_alpha 90.00
_cell_angle_beta 90.00
_cell_angle_gamma 90.00
_symmetry_space_group_name_H-M 'F m -3 m'
_symmetry_Int_Tables_number 225
_symmetry_space_group_name_Hall '-F 4 2 3'
loop_
_atom_site_label
_atom_site_type_symbol
_atom_site_fract_x
_atom_site_fract_y
_atom_site_fract_z
Tb1 Tb 0.0000 0.0000 0.0000
Ce1 Ce 0.2500 0.2500 0.2500
Dy1 Dy 0.0000 0.0000 0.5000
```


First-principles (PBE) data for a geometry-optimized ErNb2Cr structure, as listed in Alexandria via LeMat-Bulk.

- total DFT energy (no corrections) (eV/atom) = -8.0155
- ρ (g/cm3) = 8.51
- formation energy from the elements (meV/atom) = 566

```
data_ErNb2Cr
_chemical_formula_sum 'Er3 Nb6 Cr3'
_cell_length_a 3.0600
_cell_length_b 3.0600
_cell_length_c 29.2524
_cell_angle_alpha 90.00
_cell_angle_beta 90.00
_cell_angle_gamma 120.00
_symmetry_space_group_name_H-M 'R -3 m'
_symmetry_Int_Tables_number 166
_symmetry_space_group_name_Hall '-R 3 2"'
loop_
_atom_site_label
_atom_site_type_symbol
_atom_site_fract_x
_atom_site_fract_y
_atom_site_fract_z
Er1 Er 0.0000 0.0000 0.0000
Nb1 Nb 0.0000 0.0000 0.1025
Cr1 Cr 0.0000 0.0000 0.5000
```


First-principles (PBE) data for a geometry-optimized NaMgAu structure, as listed in Alexandria via LeMat-Bulk.

- total DFT energy (no corrections) (eV/atom) = -2.4262
- excess energy over the best structure of this formula in the dataset (eV/atom) = 0.0000
- ρ (g/cm3) = 5.59
- formation energy from the elements (meV/atom) = -363

```
data_NaMgAu
_chemical_formula_sum 'Na2 Mg2 Au2'
_cell_length_a 4.4128
_cell_length_b 4.4128
_cell_length_c 7.4495
_cell_angle_alpha 90.00
_cell_angle_beta 90.00
_cell_angle_gamma 90.00
_symmetry_space_group_name_H-M 'P 4/n m m'
_symmetry_Int_Tables_number 129
loop_
_symmetry_equiv_pos_as_xyz
'x,y,z'
'-x,-y,-z'
'-y+1/2,x,z'
'y+1/2,-x,-z'
'-x+1/2,-y+1/2,z'
'x+1/2,y+1/2,-z'
'y,-x+1/2,z'
'-y,x+1/2,-z'
'x+1/2,-y,-z'
'-x+1/2,y,z'
'-y,-x,-z'
'y,x,z'
'-x,y+1/2,-z'
'x,-y+1/2,z'
'y+1/2,x+1/2,-z'
'-y+1/2,-x+1/2,z'
loop_
_atom_site_label
_atom_site_type_symbol
_atom_site_fract_x
_atom_site_fract_y
_atom_site_fract_z
Na1 Na 0.2500 0.2500 0.1337
Mg1 Mg 0.2500 0.7500 0.5000
Au1 Au 0.2500 0.2500 0.7176
```


First-principles (PBE) data for a geometry-optimized La6SmAl2 structure, as listed in Alexandria via LeMat-Bulk.

- total DFT energy (no corrections) (eV/atom) = -4.7888
- excess energy over the best structure of this formula in the dataset (eV/atom) = 0.0000
- ρ (g/cm3) = 5.91
- formation energy from the elements (meV/atom) = -148

```
data_La6SmAl2
_chemical_formula_sum 'La12 Sm2 Al4'
_cell_length_a 13.3139
_cell_length_b 3.8556
_cell_length_c 11.9443
_cell_angle_alpha 90.00
_cell_angle_beta 107.92
_cell_angle_gamma 90.00
_symmetry_space_group_name_H-M 'C 1 2/m 1'
_symmetry_Int_Tables_number 12
loop_
_symmetry_equiv_pos_as_xyz
'x,y,z'
'-x,-y,-z'
'-x,y,-z'
'x,-y,z'
'x+1/2,y+1/2,z'
'-x+1/2,-y+1/2,-z'
'-x+1/2,y+1/2,-z'
'x+1/2,-y+1/2,z'
loop_
_atom_site_label
_atom_site_type_symbol
_atom_site_fract_x
_atom_site_fract_y
_atom_site_fract_z
La1 La 0.0299 0.0000 0.3279
La2 La 0.1801 0.5000 0.8770
La3 La 0.1922 0.5000 0.5978
Sm1 Sm 0.0000 0.0000 0.0000
Al1 Al 0.1510 0.5000 0.1904
```


First-principles (PBE) data for a geometry-optimized PmSm2PuAs4 structure, as listed in Alexandria via LeMat-Bulk.

- total DFT energy (no corrections) (eV/atom) = -7.2803
- ρ (g/cm3) = 7.84
- formation energy from the elements (meV/atom) = -1390

```
data_PmSm2PuAs4
_chemical_formula_sum 'Pm1 Sm2 Pu1 As4'
_cell_length_a 7.2684
_cell_length_b 4.2061
_cell_length_c 7.2696
_cell_angle_alpha 90.00
_cell_angle_beta 109.46
_cell_angle_gamma 90.00
_symmetry_space_group_name_H-M 'P 1 2/m 1'
_symmetry_Int_Tables_number 10
loop_
_symmetry_equiv_pos_as_xyz
'x,y,z'
'-x,-y,-z'
'-x,y,-z'
'x,-y,z'
loop_
_atom_site_label
_atom_site_type_symbol
_atom_site_fract_x
_atom_site_fract_y
_atom_site_fract_z
Pm1 Pm 0.0000 0.0000 0.0000
Sm1 Sm 0.5000 0.0000 0.5000
Sm2 Sm 0.5000 0.5000 0.0000
Pu1 Pu 0.0000 0.5000 0.5000
As1 As 0.2450 0.0000 0.7441
As2 As 0.2482 0.5000 0.2537
```


First-principles (PBE) data for a geometry-optimized Pu2SnP structure, as listed in Alexandria via LeMat-Bulk.

- total DFT energy (no corrections) (eV/atom) = -10.1224
- excess energy over the best structure of this formula in the dataset (eV/atom) = 0.0988
- ρ (g/cm3) = 10.00
- formation energy from the elements (meV/atom) = -603

```
data_Pu2SnP
_chemical_formula_sum 'Pu6 Sn3 P3'
_cell_length_a 3.8992
_cell_length_b 3.8992
_cell_length_c 24.1283
_cell_angle_alpha 90.00
_cell_angle_beta 90.00
_cell_angle_gamma 120.00
_symmetry_space_group_name_H-M 'R -3 m'
_symmetry_Int_Tables_number 166
_symmetry_space_group_name_Hall '-R 3 2"'
loop_
_atom_site_label
_atom_site_type_symbol
_atom_site_fract_x
_atom_site_fract_y
_atom_site_fract_z
Pu1 Pu 0.0000 0.0000 0.2355
Sn1 Sn 0.0000 0.0000 0.0000
P1 P 0.0000 0.0000 0.5000
```


First-principles (PBE) data for a geometry-optimized Sr2LaPt structure, as listed in Alexandria via LeMat-Bulk.

- total DFT energy (no corrections) (eV/atom) = -4.0346
- excess energy over the best structure of this formula in the dataset (eV/atom) = 0.1547
- ρ (g/cm3) = 5.78
- formation energy from the elements (meV/atom) = -452

```
data_Sr2LaPt
_chemical_formula_sum 'Sr4 La2 Pt2'
_cell_length_a 3.9260
_cell_length_b 6.0581
_cell_length_c 12.2934
_cell_angle_alpha 90.00
_cell_angle_beta 90.00
_cell_angle_gamma 90.00
_symmetry_space_group_name_H-M 'I m m 2'
_symmetry_Int_Tables_number 44
loop_
_symmetry_equiv_pos_as_xyz
'x,y,z'
'-x,-y,z'
'-x,y,z'
'x,-y,z'
'x+1/2,y+1/2,z+1/2'
'-x+1/2,-y+1/2,z+1/2'
'-x+1/2,y+1/2,z+1/2'
'x+1/2,-y+1/2,z+1/2'
loop_
_atom_site_label
_atom_site_type_symbol
_atom_site_fract_x
_atom_site_fract_y
_atom_site_fract_z
Sr1 Sr 0.0000 0.0000 0.0000
Sr2 Sr 0.0000 0.5000 0.1811
La1 La 0.0000 0.5000 0.8224
Pt1 Pt 0.0000 0.0000 0.4846
```


First-principles (PBE) data for a geometry-optimized Tl2PbAu2 structure, as listed in Alexandria via LeMat-Bulk.

- total DFT energy (no corrections) (eV/atom) = -3.0193
- excess energy over the best structure of this formula in the dataset (eV/atom) = 0.0095
- ρ (g/cm3) = 12.36
- formation energy from the elements (meV/atom) = -20

```
data_Tl2PbAu2
_chemical_formula_sum 'Tl8 Pb4 Au8'
_cell_length_a 11.9847
_cell_length_b 6.6912
_cell_length_c 7.7023
_cell_angle_alpha 90.00
_cell_angle_beta 118.55
_cell_angle_gamma 90.00
_symmetry_space_group_name_H-M 'C 1 2/c 1'
_symmetry_Int_Tables_number 15
loop_
_symmetry_equiv_pos_as_xyz
'x,y,z'
'-x,-y,-z'
'-x,y,-z+1/2'
'x,-y,z+1/2'
'x+1/2,y+1/2,z'
'-x+1/2,-y+1/2,-z'
'-x+1/2,y+1/2,-z+1/2'
'x+1/2,-y+1/2,z+1/2'
loop_
_atom_site_label
_atom_site_type_symbol
_atom_site_fract_x
_atom_site_fract_y
_atom_site_fract_z
Tl1 Tl 0.2214 0.0013 0.3462
Pb1 Pb 0.0000 0.4199 0.2500
Au1 Au 0.0373 0.1899 0.9581
```


First-principles (PBE) data for a geometry-optimized NaGa2PtW structure, as listed in Alexandria via LeMat-Bulk.

- total DFT energy (no corrections) (eV/atom) = -4.3195
- ρ (g/cm3) = 7.56
- formation energy from the elements (meV/atom) = 954

```
data_NaGa2PtW
_chemical_formula_sum 'Na1 Ga2 Pt1 W1'
_cell_length_a 4.7880
_cell_length_b 4.7880
_cell_length_c 5.1869
_cell_angle_alpha 90.00
_cell_angle_beta 90.00
_cell_angle_gamma 90.00
_symmetry_space_group_name_H-M 'P 4/m m m'
_symmetry_Int_Tables_number 123
_symmetry_space_group_name_Hall '-P 4 2'
loop_
_atom_site_label
_atom_site_type_symbol
_atom_site_fract_x
_atom_site_fract_y
_atom_site_fract_z
Na1 Na 0.0000 0.0000 0.0000
Ga1 Ga 0.0000 0.5000 0.5000
Pt1 Pt 0.0000 0.0000 0.5000
W1 W 0.5000 0.5000 0.0000
```


First-principles (PBE) data for a geometry-optimized YTaNiPd2 structure, as listed in Alexandria via LeMat-Bulk.

- total DFT energy (no corrections) (eV/atom) = -5.8055
- ρ (g/cm3) = 7.25
- formation energy from the elements (meV/atom) = 1091

```
data_YTaNiPd2
_chemical_formula_sum 'Y1 Ta1 Ni1 Pd2'
_cell_length_a 4.7817
_cell_length_b 4.7817
_cell_length_c 5.4243
_cell_angle_alpha 90.00
_cell_angle_beta 90.00
_cell_angle_gamma 90.00
_symmetry_space_group_name_H-M 'P 4/m m m'
_symmetry_Int_Tables_number 123
_symmetry_space_group_name_Hall '-P 4 2'
loop_
_atom_site_label
_atom_site_type_symbol
_atom_site_fract_x
_atom_site_fract_y
_atom_site_fract_z
Y1 Y 0.0000 0.0000 0.0000
Ta1 Ta 0.0000 0.0000 0.5000
Ni1 Ni 0.5000 0.5000 0.0000
Pd1 Pd 0.0000 0.5000 0.5000
```


First-principles (PBE) data for a geometry-optimized Ac7La12Er structure, as listed in Alexandria via LeMat-Bulk.

- total DFT energy (no corrections) (eV/atom) = -4.3796
- ρ (g/cm3) = 7.06
- formation energy from the elements (meV/atom) = 243

```
data_Ac7La12Er
_chemical_formula_sum 'Ac21 La36 Er3'
_cell_length_a 20.3870
_cell_length_b 20.3870
_cell_length_c 6.7070
_cell_angle_alpha 90.00
_cell_angle_beta 90.00
_cell_angle_gamma 120.00
_symmetry_space_group_name_H-M 'R -3 m'
_symmetry_Int_Tables_number 166
_symmetry_space_group_name_Hall '-R 3 2"'
loop_
_atom_site_label
_atom_site_type_symbol
_atom_site_fract_x
_atom_site_fract_y
_atom_site_fract_z
Ac1 Ac 0.0000 0.0000 0.0000
Ac2 Ac 0.0857 0.1713 0.2952
La1 La 0.0000 0.4046 0.0000
La2 La 0.0919 0.5460 0.4694
Er1 Er 0.0000 0.0000 0.5000
```


First-principles (PBE) data for a geometry-optimized UFe3P2 structure, as listed in Alexandria via LeMat-Bulk.

- total DFT energy (no corrections) (eV/atom) = -8.6308
- ρ (g/cm3) = 9.98
- formation energy from the elements (meV/atom) = -715

```
data_UFe3P2
_chemical_formula_sum 'U6 Fe18 P12'
_cell_length_a 14.9496
_cell_length_b 3.6488
_cell_length_c 8.9741
_cell_angle_alpha 90.00
_cell_angle_beta 107.52
_cell_angle_gamma 90.00
_symmetry_space_group_name_H-M 'C 1 2/m 1'
_symmetry_Int_Tables_number 12
loop_
_symmetry_equiv_pos_as_xyz
'x,y,z'
'-x,-y,-z'
'-x,y,-z'
'x,-y,z'
'x+1/2,y+1/2,z'
'-x+1/2,-y+1/2,-z'
'-x+1/2,y+1/2,-z'
'x+1/2,-y+1/2,z'
loop_
_atom_site_label
_atom_site_type_symbol
_atom_site_fract_x
_atom_site_fract_y
_atom_site_fract_z
U1 U 0.0000 0.0000 0.0000
U2 U 0.1583 0.0000 0.7025
Fe1 Fe 0.0000 0.5000 0.5000
Fe2 Fe 0.0470 0.0000 0.3356
Fe3 Fe 0.1202 0.5000 0.1958
Fe4 Fe 0.1771 0.5000 0.9550
Fe5 Fe 0.2192 0.0000 0.3893
P1 P 0.0339 0.5000 0.7749
P2 P 0.1396 0.5000 0.4503
P3 P 0.1958 0.0000 0.1272
```


First-principles (PBE) data for a geometry-optimized Tc2IrAu structure, as listed in Alexandria via LeMat-Bulk.

- total DFT energy (no corrections) (eV/atom) = -7.8808
- excess energy over the best structure of this formula in the dataset (eV/atom) = 0.2320
- ρ (g/cm3) = 15.48
- formation energy from the elements (meV/atom) = 337

```
data_Tc2IrAu
_chemical_formula_sum 'Tc4 Ir2 Au2'
_cell_length_a 2.8325
_cell_length_b 4.6498
_cell_length_c 9.5322
_cell_angle_alpha 90.00
_cell_angle_beta 90.00
_cell_angle_gamma 90.00
_symmetry_space_group_name_H-M 'C m m 2'
_symmetry_Int_Tables_number 35
loop_
_symmetry_equiv_pos_as_xyz
'x,y,z'
'-x,-y,z'
'-x,y,z'
'x,-y,z'
'x+1/2,y+1/2,z'
'-x+1/2,-y+1/2,z'
'-x+1/2,y+1/2,z'
'x+1/2,-y+1/2,z'
loop_
_atom_site_label
_atom_site_type_symbol
_atom_site_fract_x
_atom_site_fract_y
_atom_site_fract_z
Tc1 Tc 0.0000 0.0000 0.0000
Tc2 Tc 0.0000 0.5000 0.2304
Ir1 Ir 0.0000 0.0000 0.4681
Au1 Au 0.0000 0.5000 0.7346
```